Compound: CePu2Pb
Source: Alexandria via LeMat-Bulk
Functional: PBE-GGA
Structure: relaxed

abc: 4.1264 4.1264 6.5688
angles: 90.00 90.00 90.00
Last column: nearest neighbours and their distance in Å.
Fractional coordinates of all 4 atoms:
Ce 0.0000 0.0000 0.0000  2 Pb 3.28, 8 Pu 3.39
Pu 0.5000 0.5000 0.2614  2 Pu 3.14-3.43, 4 Pb 3.31, 4 Ce 3.39
Pu 0.5000 0.5000 0.7386  2 Pu 3.14-3.43, 4 Pb 3.31, 4 Ce 3.39
Pb 0.0000 0.0000 0.5000  2 Ce 3.28, 8 Pu 3.31

Results
Total energy = -9.622 eV/atom
E above lowest polymorph = 121 meV per atom
Density = 12.40 g/cm3
Formation enthalpy at 0 K = -0.045 eV/atom
DOS at the Fermi energy = 13.14 states/eV per cell

=====

Compound: CePuPb
Source: Alexandria via LeMat-Bulk
Functional: PBE-GGA
Structure: relaxed

abc: 5.1617 5.1617 3.5473
angles: 90.00 90.00 120.00
Last column: nearest neighbours and their distance in Å.
Fractional coordinates of all 3 atoms:
Ce 0.0000 0.0000 0.0000  3 Pu 2.98
Pu 0.6667 0.3333 0.0000  3 Ce 2.98
Pb 0.3333 0.6667 0.5000  6 Ce 3.47, 6 Pu 3.47, 2 Pb 3.55

Results
Total energy = -8.142 eV/atom
E above lowest polymorph = 89 meV per atom
Density = 12.00 g/cm3
Formation enthalpy at 0 K = -0.151 eV/atom
DOS at the Fermi energy = 5.59 states/eV per cell

=====

Compound: Ce8PuPb2
Source: Alexandria via LeMat-Bulk
Functional: PBE-GGA
Structure: relaxed

abc: 9.3652 9.3652 6.0160
angles: 100.11 100.11 138.43
Last column: nearest neighbours and their distance in Å.
Fractional coordinates of all 11 atoms:
Ce 0.0000 0.0000 0.0000  1 Pu 2.62
Ce 0.0169 0.7352 0.3019  1 Pu 2.53
Ce 0.0727 0.6453 0.7414  1 Ce 2.99, 2 Pb 3.24-3.31
Ce 0.3011 0.4626 0.7743  1 Ce 2.83, 1 Pu 3.01
Ce 0.4626 0.3011 0.7743  1 Ce 2.83, 1 Pu 3.01
Ce 0.5698 0.5698 0.4151  1 Pu 2.52
Ce 0.6453 0.0727 0.7414  1 Ce 2.99, 2 Pb 3.24-3.31
Ce 0.7352 0.0169 0.3019  1 Pu 2.53
Pu 0.9434 0.9434 0.4018  4 Ce 2.52-2.62
Pb 0.1766 0.5214 0.2420  9 Ce 3.24-3.58
Pb 0.5214 0.1766 0.2420  9 Ce 3.24-3.58

Results
Total energy = -6.413 eV/atom
Density = 9.71 g/cm3
Formation enthalpy at 0 K = -0.120 eV/atom
DOS at the Fermi energy = 31.29 states/eV per cell

=====

Compound: CePu2Pb2
Source: Alexandria via LeMat-Bulk
Functional: PBE-GGA
Structure: relaxed

abc: 5.2594 5.2594 11.4898
angles: 90.00 90.00 120.00
Last column: nearest neighbours and their distance in Å.
Fractional coordinates of all 10 atoms:
Ce 0.0000 0.0000 0.2500  5 Pu 2.87-3.04
Ce 0.0000 0.0000 0.7500  5 Pu 2.87-3.04
Pu 0.0000 0.0000 0.0000  2 Ce 2.87
Pu 0.0000 0.0000 0.5000  2 Ce 2.87
Pu 0.3333 0.6667 0.2500  3 Ce 3.04
Pu 0.6667 0.3333 0.7500  3 Ce 3.04
Pb 0.3333 0.6667 0.6086  1 Pb 3.25, 6 Pu 3.28-3.44, 3 Ce 3.44
Pb 0.3333 0.6667 0.8914  1 Pb 3.25, 6 Pu 3.28-3.44, 3 Ce 3.44
Pb 0.6667 0.3333 0.1086  1 Pb 3.25, 6 Pu 3.28-3.44, 3 Ce 3.44
Pb 0.6667 0.3333 0.3914  1 Pb 3.25, 6 Pu 3.28-3.44, 3 Ce 3.44

Results
Total energy = -8.491 eV/atom
E above lowest polymorph = 65 meV per atom
Density = 12.58 g/cm3
Formation enthalpy at 0 K = -0.088 eV/atom
DOS at the Fermi energy = 27.06 states/eV per cell

=====

Compound: Ce5PuPb
Source: Alexandria via LeMat-Bulk
Functional: PBE-GGA
Structure: relaxed

abc: 6.5245 6.5245 11.4656
angles: 108.66 108.66 59.76
Last column: nearest neighbours and their distance in Å.
Fractional coordinates of all 14 atoms:
Ce 0.0031 0.9969 0.7500  2 Ce 2.80, 1 Pb 3.13
Ce 0.0223 0.4123 0.2405  2 Ce 2.80-2.88, 1 Pu 2.94
Ce 0.1685 0.6570 0.4852  1 Ce 2.88
Ce 0.3430 0.8315 0.0148  1 Ce 2.88
Ce 0.4123 0.0223 0.7405  2 Ce 2.80-2.88, 1 Pu 2.94
Ce 0.5877 0.9777 0.2595  2 Ce 2.80-2.88, 1 Pu 2.94
Ce 0.6570 0.1685 0.9852  1 Ce 2.88
Ce 0.8315 0.3430 0.5148  1 Ce 2.88
Ce 0.9777 0.5877 0.7595  2 Ce 2.80-2.88, 1 Pu 2.94
Ce 0.9969 0.0031 0.2500  2 Ce 2.80, 1 Pb 3.13
Pu 0.0000 0.5000 0.0000  2 Ce 2.94
Pu 0.5000 0.0000 0.5000  2 Ce 2.94
Pb 0.4779 0.5221 0.2500  8 Ce 3.13-3.37
Pb 0.5221 0.4779 0.7500  8 Ce 3.13-3.37

Results
Total energy = -6.811 eV/atom
Density = 9.76 g/cm3
Formation enthalpy at 0 K = 0.004 eV/atom
DOS at the Fermi energy = 43.49 states/eV per cell

=====

Compound: Ce4PuPb2
Source: Alexandria via LeMat-Bulk
Functional: PBE-GGA
Structure: relaxed

abc: 5.8784 5.8784 12.2882
angles: 90.00 90.00 90.00
Last column: nearest neighbours and their distance in Å.
Fractional coordinates of all 14 atoms:
Ce 0.0000 0.5000 0.0000  2 Pu 2.94, 2 Ce 3.07
Ce 0.0000 0.5000 0.2500  2 Ce 3.07, 4 Pb 3.26
Ce 0.0000 0.5000 0.5000  2 Pu 2.94, 2 Ce 3.07
Ce 0.0000 0.5000 0.7500  2 Ce 3.07, 4 Pb 3.26
Ce 0.5000 0.0000 0.0000  2 Pu 2.94, 2 Ce 3.07
Ce 0.5000 0.0000 0.2500  2 Ce 3.07, 4 Pb 3.26
Ce 0.5000 0.0000 0.5000  2 Pu 2.94, 2 Ce 3.07
Ce 0.5000 0.0000 0.7500  2 Ce 3.07, 4 Pb 3.26
Pu 0.0000 0.0000 0.0000  4 Ce 2.94
Pu 0.5000 0.5000 0.5000  4 Ce 2.94
Pb 0.0000 0.0000 0.3651  8 Ce 3.26-3.37, 1 Pb 3.32
Pb 0.0000 0.0000 0.6349  8 Ce 3.26-3.37, 1 Pb 3.32
Pb 0.5000 0.5000 0.1349  8 Ce 3.26-3.37, 1 Pb 3.32
Pb 0.5000 0.5000 0.8651  8 Ce 3.26-3.37, 1 Pb 3.32

Results
Total energy = -6.477 eV/atom
Density = 9.53 g/cm3
Formation enthalpy at 0 K = 0.021 eV/atom
DOS at the Fermi energy = 41.93 states/eV per cell